Computed, not measured: a geometry-optimized InTcMo2 structure at the PBE level of DFT.

```
4
Lattice="3.324 0.000 0.000 0.000 4.420 0.000 0.000 0.000 4.500" Properties=species:S:1:pos:R:3 pbc="T T T"
Mo 1.662 2.210 0.000
Mo 0.000 0.000 0.000
In 0.000 2.210 2.250
Tc 1.662 0.000 2.250
```

Computed properties:
Theoretical density in kg/m³: 10163
Crystal system: orthorhombic
Total magnetization in Bohr magnetons per cell: 0.00
Energy of formation in meV/atom: 330.1